DFT (PBE with a Hubbard U) results for a relaxed WSeO2 crystal.

DOS at the Fermi energy (states/eV/atom): 0.214
E (eV per atom): -6.19
Crystal system: trigonal

abc: 3.1346 3.1346 30.5192
angles: 90.00 90.00 120.00
With the nearest neighbours (Å) after each atom.
Space group R-3m (No. 166, hexagonal axes)
Asymmetric unit:
W: 0.0000 0.0000 0.0000 x3  6 O 2.09
Se: 0.0000 0.0000 0.5000 x3  6 Se 3.13
O: 0.0000 0.0000 0.3677 x6  3 W 2.09